## B2C3 (GGA-PBE)

Data for B2C3 after structural relaxation.

Crystal system   trigonal
Energy of formation   468 meV/atom

Unit cell a=2.5515 b=2.5515 c=34.7636 alpha=90.00 beta=90.00 gamma=120.00
Last column: nearest neighbours and their distance in Å.
Space group R-3m (No. 166, hexagonal axes)
Asymmetric unit:
B: 0.0000 0.0000 0.1828  4 B 1.70-1.85
B: 0.0000 0.0000 0.2316  3 C 1.65, 1 B 1.70
C: 0.0000 0.0000 0.0220  4 C 1.53-1.57
C: 0.0000 0.0000 0.3709  4 C 1.49-1.57
C: 0.0000 0.0000 0.4139  1 C 1.49, 3 B 1.65

***

## HIBr (GGA-PBE)

Data for HIBr after structural relaxation.

Crystal system   monoclinic

Unit cell a=12.9179 b=7.5275 c=4.7864 alpha=90.00 beta=90.97 gamma=90.00
Last column: nearest neighbours and their distance in Å.
Space group C2 (No. 5)
Asymmetric unit:
H: 0.1383 0.0000 0.3641  1 Br 1.47
I: 0.1034 0.2962 0.5783  1 H 2.50, 1 I 2.76
Br: 0.1524 0.8249 0.2320  1 H 1.47

***

## NaCdP2S (GGA-PBE)

Data for NaCdP2S after structural relaxation.

Crystal system   tetragonal
Formation energy without anion corrections   0.66 eV per atom

Unit cell a=5.0202 b=5.0202 c=5.2384 alpha=90.00 beta=90.00 gamma=90.00
Last column: nearest neighbours and their distance in Å.
Space group P4/mmm (No. 123)
Asymmetric unit:
Na: 0.0000 0.0000 0.0000  4 S 3.55, 8 P 3.63
Cd: 0.5000 0.5000 0.5000  4 P 2.51, 2 S 2.62
P: 0.0000 0.5000 0.5000  2 Cd 2.51
S: 0.5000 0.5000 0.0000  2 Cd 2.62

***

Ordered spin magnetization results: 0.0; 0.0; 1.5; unit μB per formula unit.
Ordered excess energy over the best structure of this formula in the dataset results: 232; 1; 0; unit meV per atom.